The following is a PBE calculation of crystalline Ca4AgOs at its relaxed geometry, from Alexandria.

Unit cell a=8.572 b=8.572 c=8.572 alpha=90.00 beta=90.00 gamma=90.00
Space group F-43m (No. 216)
Symmetry-distinct sites (fractional):
Ca 0.124 0.124 0.124 (multiplicity 16)
Ag 0.000 0.000 0.500 (multiplicity 4)
Os 0.250 0.250 0.750 (multiplicity 4)

Summary:
Raw total energy   -2.71 eV/atom
Energy of formation from the pure elements   970 meV/atom
Total moment   0.000 μB/atom

=====

The following is a PBE calculation of crystalline CrSnSe2 at its relaxed geometry, from Alexandria.

Unit cell a=13.057 b=4.382 c=7.876 alpha=90.00 beta=104.59 gamma=90.00
Space group Cm (No. 8)
Symmetry-distinct sites (fractional):
Cr 0.000 0.000 0.000 (multiplicity 2)
Cr 0.088 0.000 0.225 (multiplicity 2)
Sn 0.080 0.500 0.649 (multiplicity 2)
Sn 0.313 0.500 0.108 (multiplicity 2)
Se 0.168 0.500 0.315 (multiplicity 2)
Se 0.185 0.000 0.968 (multiplicity 2)
Se 0.444 0.000 0.880 (multiplicity 2)
Se 0.479 0.500 0.445 (multiplicity 2)

Summary:
Raw total energy   -5.38 eV/atom
Total moment   0.000 μB/atom
ΔE_f (raw)   -0.233 eV per atom

=====

The following is a PBE calculation of crystalline Pu2ZrTaN4 at its relaxed geometry, from Alexandria.

Unit cell a=5.723 b=3.304 c=5.799 alpha=90.00 beta=109.06 gamma=90.00
Space group P2/m (No. 10)
Symmetry-distinct sites (fractional):
Pu 0.000 0.000 0.000 (multiplicity 1)
Pu 0.500 0.500 0.000 (multiplicity 1)
Zr 0.000 0.500 0.500 (multiplicity 1)
Ta 0.500 0.000 0.500 (multiplicity 1)
N 0.253 0.000 0.726 (multiplicity 2)
N 0.269 0.500 0.280 (multiplicity 2)

Summary:
Raw total energy   -11.67 eV/atom
Total moment   0.024 μB/atom
ΔE_f (raw)   -1.371 eV per atom

=====

The following is a PBE calculation of crystalline SmPuSn at its relaxed geometry, from Alexandria.

Unit cell a=5.3156 b=5.3156 c=3.2949 alpha=90.00 beta=90.00 gamma=120.00
Space group P-6m2 (No. 187)
Symmetry-distinct sites (fractional):
Sm 0.0000 0.0000 0.0000 (multiplicity 1)
Pu 0.6667 0.3333 0.0000 (multiplicity 1)
Sn 0.3333 0.6667 0.5000 (multiplicity 1)

Summary:
Raw total energy   -7.84 eV/atom
Energy of formation from the pure elements   -156 meV/atom
Total moment   2.212 μB/atom

=====

The following is a PBE calculation of crystalline ErU4As5 at its relaxed geometry, from Alexandria.

Unit cell a=4.046 b=5.766 c=20.655 alpha=90.00 beta=90.00 gamma=90.00
Space group Immm (No. 71)
Symmetry-distinct sites (fractional):
Er 0.000 0.000 0.000 (multiplicity 2)
U 0.000 0.000 0.200 (multiplicity 4)
U 0.000 0.000 0.400 (multiplicity 4)
As 0.000 0.500 0.000 (multiplicity 2)
As 0.000 0.500 0.200 (multiplicity 4)
As 0.000 0.500 0.401 (multiplicity 4)

Summary:
Raw total energy   -8.17 eV/atom
Energy of formation from the pure elements   -874 meV/atom
Total moment   0.989 μB/atom

=====

The following is a PBE calculation of crystalline Ta2NbGe6 at its relaxed geometry, from Alexandria.

Unit cell a=5.003 b=8.670 c=6.820 alpha=90.00 beta=90.00 gamma=90.00
Space group C222 (No. 21)
Symmetry-distinct sites (fractional):
Ta 0.250 0.250 0.165 (multiplicity 4)
Nb 0.000 0.000 0.500 (multiplicity 2)
Ge 0.000 0.335 0.500 (multiplicity 4)
Ge 0.247 0.418 0.833 (multiplicity 8)

Summary:
Raw total energy   -7.10 eV/atom
Energy of formation from the pure elements   -269 meV/atom
Total moment   0.000 μB/atom

=====

The following is a PBE calculation of crystalline La4In16Ni3 at its relaxed geometry, from Alexandria.

Unit cell a=6.748 b=6.748 c=12.433 alpha=90.00 beta=90.00 gamma=90.00
Space group P4/mmm (No. 123)
Symmetry-distinct sites (fractional):
La 0.000 0.500 0.195 (multiplicity 4)
In 0.000 0.000 0.196 (multiplicity 2)
In 0.227 0.227 0.000 (multiplicity 4)
In 0.247 0.247 0.383 (multiplicity 8)
In 0.500 0.500 0.214 (multiplicity 2)
Ni 0.000 0.500 0.500 (multiplicity 2)
Ni 0.500 0.500 0.000 (multiplicity 1)

Summary:
Raw total energy   -3.89 eV/atom
Energy of formation from the pure elements   -369 meV/atom
Total moment   0.000 μB/atom

=====

The following is a PBE calculation of crystalline Sb3WN at its relaxed geometry, from Alexandria.

Unit cell a=5.158 b=5.158 c=5.158 alpha=90.00 beta=90.00 gamma=90.00
Space group Pm-3m (No. 221)
Symmetry-distinct sites (fractional):
Sb 0.000 0.000 0.500 (multiplicity 3)
W 0.000 0.000 0.000 (multiplicity 1)
N 0.500 0.500 0.500 (multiplicity 1)

Summary:
Raw total energy   -5.11 eV/atom
Total moment   0.000 μB/atom
ΔE_f (raw)   1.618 eV per atom

=====

The following is a PBE calculation of crystalline Ca3Cd2PdO6 at its relaxed geometry, from Alexandria.

Unit cell a=5.830 b=10.525 c=5.578 alpha=90.00 beta=105.70 gamma=90.00
Space group C2/m (No. 12)
Symmetry-distinct sites (fractional):
Ca 0.000 0.000 0.000 (multiplicity 2)
Ca 0.000 0.336 0.000 (multiplicity 4)
Cd 0.000 0.172 0.500 (multiplicity 4)
Pd 0.000 0.500 0.500 (multiplicity 2)
O 0.223 0.500 0.263 (multiplicity 4)
O 0.228 0.168 0.236 (multiplicity 8)

Summary:
Raw total energy   -5.36 eV/atom
Total moment   0.000 μB/atom
ΔE_f (raw)   -1.796 eV per atom

=====

The following is a PBE calculation of crystalline Li5AgF8 at its relaxed geometry, from Alexandria.

Unit cell a=5.9644 b=5.9644 c=15.0782 alpha=90.00 beta=90.00 gamma=120.00
Space group R-3m (No. 166, hexagonal axes)
Symmetry-distinct sites (fractional):
Li 0.0000 0.0000 0.1394 (multiplicity 6)
Li 0.0000 0.5000 0.0000 (multiplicity 9)
Ag 0.0000 0.0000 0.5000 (multiplicity 3)
F 0.0000 0.0000 0.2645 (multiplicity 6)
F 0.0079 0.5040 0.2512 (multiplicity 18)

Summary:
Raw total energy   -4.33 eV/atom
Total moment   0.143 μB/atom
ΔE_f (raw)   -2.378 eV per atom

=====

The following is a PBE calculation of crystalline NaMnCuTe3 at its relaxed geometry, from Alexandria.

Unit cell a=8.507 b=3.983 c=9.544 alpha=90.00 beta=108.03 gamma=90.00
Space group P2_1/m (No. 11)
Symmetry-distinct sites (fractional):
Na 0.212 0.250 0.265 (multiplicity 2)
Mn 0.314 0.750 0.840 (multiplicity 2)
Cu 0.071 0.250 0.590 (multiplicity 2)
Te 0.110 0.250 0.875 (multiplicity 2)
Te 0.254 0.750 0.545 (multiplicity 2)
Te 0.454 0.750 0.140 (multiplicity 2)

Summary:
Raw total energy   -4.34 eV/atom
Total moment   0.527 μB/atom
ΔE_f (raw)   -0.343 eV per atom

=====

The following is a PBE calculation of crystalline NbTc3Hg at its relaxed geometry, from Alexandria.

Unit cell a=4.803 b=4.803 c=4.803 alpha=90.00 beta=90.00 gamma=90.00
Space group Pm-3m (No. 221)
Symmetry-distinct sites (fractional):
Nb 0.000 0.000 0.000 (multiplicity 1)
Tc 0.000 0.500 0.500 (multiplicity 3)
Hg 0.500 0.500 0.500 (multiplicity 1)

Summary:
Raw total energy   -5.69 eV/atom
Energy of formation from the pure elements   2607 meV/atom
Total moment   0.001 μB/atom

=====

The following is a PBE calculation of crystalline Fe2HRu at its relaxed geometry, from Alexandria.

Unit cell a=5.758 b=5.758 c=4.636 alpha=90.00 beta=90.00 gamma=90.00
Space group I-42d (No. 122)
Symmetry-distinct sites (fractional):
Fe 0.145 0.750 0.125 (multiplicity 8)
H 0.000 0.000 0.000 (multiplicity 4)
Ru 0.000 0.000 0.500 (multiplicity 4)

Summary:
Raw total energy   -7.04 eV/atom
Total moment   0.281 μB/atom

=====

The following is a PBE calculation of crystalline PmMnAl2 at its relaxed geometry, from Alexandria.

Unit cell a=3.133 b=3.133 c=7.381 alpha=90.00 beta=90.00 gamma=90.00
Space group P4/mmm (No. 123)
Symmetry-distinct sites (fractional):
Pm 0.000 0.000 0.000 (multiplicity 1)
Mn 0.000 0.000 0.500 (multiplicity 1)
Al 0.500 0.500 0.318 (multiplicity 2)

Summary:
Raw total energy   -5.52 eV/atom
Energy of formation from the pure elements   -168 meV/atom
Total moment   0.387 μB/atom

=====

The following is a PBE calculation of crystalline CsZr2Tl at its relaxed geometry, from Alexandria.

Unit cell a=7.403 b=7.403 c=7.403 alpha=90.00 beta=90.00 gamma=90.00
Space group Fm-3m (No. 225)
Symmetry-distinct sites (fractional):
Cs 0.000 0.000 0.000 (multiplicity 4)
Zr 0.250 0.250 0.250 (multiplicity 8)
Tl 0.000 0.000 0.500 (multiplicity 4)

Summary:
Raw total energy   -4.23 eV/atom
Energy of formation from the pure elements   850 meV/atom
Total moment   0.000 μB/atom

=====

The following is a PBE calculation of crystalline YCo2BSb at its relaxed geometry, from Alexandria.

Unit cell a=4.760 b=4.760 c=4.631 alpha=90.00 beta=90.00 gamma=90.00
Space group P4/mmm (No. 123)
Symmetry-distinct sites (fractional):
Y 0.000 0.000 0.000 (multiplicity 1)
Co 0.000 0.500 0.000 (multiplicity 2)
B 0.000 0.000 0.500 (multiplicity 1)
Sb 0.500 0.500 0.500 (multiplicity 1)

Summary:
Raw total energy   -4.60 eV/atom
Total moment   0.385 μB/atom
ΔE_f (raw)   1.698 eV per atom

=====

The following is a PBE calculation of crystalline ThBePt2 at its relaxed geometry, from Alexandria.

Unit cell a=4.0973 b=4.0973 c=15.4784 alpha=90.00 beta=90.00 gamma=120.00
Space group R-3m (No. 166, hexagonal axes)
Symmetry-distinct sites (fractional):
Th 0.0000 0.0000 0.0000 (multiplicity 3)
Be 0.0000 0.0000 0.5000 (multiplicity 3)
Pt 0.0000 0.0000 0.2155 (multiplicity 6)

Summary:
Raw total energy   -6.78 eV/atom
Energy of formation from the pure elements   -973 meV/atom
Total moment   0.000 μB/atom

=====

The following is a PBE calculation of crystalline Li2CuPt at its relaxed geometry, from Alexandria.

Unit cell a=5.401 b=8.792 c=5.164 alpha=90.00 beta=117.78 gamma=90.00
Space group C2/c (No. 15)
Symmetry-distinct sites (fractional):
Li 0.244 0.032 0.244 (multiplicity 8)
Cu 0.000 0.276 0.250 (multiplicity 4)
Pt 0.000 0.224 0.750 (multiplicity 4)

Summary:
Raw total energy   -3.83 eV/atom
Energy of formation from the pure elements   -340 meV/atom
Total moment   0.000 μB/atom

=====

The following is a PBE calculation of crystalline Cs3In8Sn3 at its relaxed geometry, from Alexandria.

Unit cell a=19.095 b=5.357 c=11.387 alpha=90.00 beta=126.12 gamma=90.00
Space group C2/m (No. 12)
Symmetry-distinct sites (fractional):
Cs 0.000 0.000 0.000 (multiplicity 2)
Cs 0.198 0.500 0.698 (multiplicity 4)
In 0.001 0.500 0.695 (multiplicity 4)
In 0.142 0.000 0.425 (multiplicity 4)
In 0.152 0.000 0.875 (multiplicity 4)
In 0.164 0.500 0.307 (multiplicity 4)
Sn 0.000 0.000 0.500 (multiplicity 2)
Sn 0.158 0.500 0.023 (multiplicity 4)

Summary:
Raw total energy   -2.69 eV/atom
Energy of formation from the pure elements   -81 meV/atom
Total moment   0.000 μB/atom

=====

The following is a PBE calculation of crystalline PuMg2Sn at its relaxed geometry, from Alexandria.

Unit cell a=7.253 b=7.253 c=7.253 alpha=90.00 beta=90.00 gamma=90.00
Space group Fm-3m (No. 225)
Symmetry-distinct sites (fractional):
Pu 0.000 0.000 0.000 (multiplicity 4)
Mg 0.250 0.250 0.250 (multiplicity 8)
Sn 0.000 0.000 0.500 (multiplicity 4)

Summary:
Raw total energy   -5.38 eV/atom
Energy of formation from the pure elements   -2 meV/atom
Total moment   1.529 μB/atom